## AlIr2W (GGA-PBE)

Data for crystalline AlIr2W at its relaxed geometry.

```
AlIr2W
1.0
3.684 0.000 0.000
0.000 4.021 0.000
0.000 0.000 4.021
Al Ir W
1 2 1
Cartesian
1.842 0.000 2.010
0.000 0.000 0.000
0.000 2.010 2.010
1.842 2.010 0.000
```

***

## AlIr2W (GGA-PBE)

Data for crystalline AlIr2W at its relaxed geometry.

```
AlIr2W
1.0
-2.980 4.235 -1.011
-4.908 -0.679 -1.813
3.501 -0.817 3.863
Ir Al W
2 1 1
Cartesian
-0.188 0.085 -0.067
-1.667 2.578 0.736
-2.634 0.122 0.334
-3.844 1.733 -1.376
```

***

## AlIr4W (GGA-PBE)

Data for crystalline AlIr4W at its relaxed geometry.

```
AlIr4W
1.0
0.000 3.627 3.627
3.627 0.000 3.627
3.627 3.627 0.000
Ir Al W
4 1 1
Cartesian
4.537 4.537 2.718
4.537 2.718 4.537
2.718 4.537 4.537
2.718 2.718 2.718
0.000 0.000 0.000
5.441 5.441 5.441
```

***

## AlIr2W (GGA-PBE)

Data for crystalline AlIr2W at its relaxed geometry.

```
AlIr2W
1.0
8.977 -0.007 -0.004
8.543 2.757 -0.004
8.543 1.341 2.409
W Ir Al
1 2 1
Cartesian
13.048 2.049 1.202
6.470 1.016 0.596
0.099 0.015 0.009
19.477 3.058 1.794
```

***

## AlIr2W (GGA-PBE)

Data for crystalline AlIr2W at its relaxed geometry.

```
AlIr2W
1.0
-3.047 1.510 -3.405
-3.570 -1.231 -2.982
-3.638 1.113 2.712
Al Ir W
1 2 1
Cartesian
-2.459 0.305 -1.069
-7.562 1.005 -2.850
-6.764 0.325 -6.275
-5.214 0.733 -1.706
```

***

## AlIr2W (GGA-PBE)

Data for crystalline AlIr2W at its relaxed geometry.

```
AlIr2W
1.0
-3.339 -2.752 -2.257
-0.092 -4.595 1.642
-0.115 4.373 2.163
Ir W Al
2 1 1
Cartesian
0.000 0.000 0.000
-0.962 -1.948 1.749
-1.716 -3.673 -0.308
-2.585 -1.026 -0.201
```

***

| no. | formation enthalpy at 0 K (eV/f.u.) | total moment (μB per formula unit) |
| --- | --- | --- |
| 1 | -0.91 | 0.0 |
| 2 | -1.09 | 0.0 |
| 3 | 1.57 | 0.0 |
| 4 | -0.75 | 0.0 |
| 5 | -1.55 | 0.0 |
| 6 | -1.25 | 0.0 |